1.
# Li2Br PBE-GGA optimized geometry
# **Spin magnetization**: 0.0 μB/cell
# **DFT total energy**: -2.68 eV/atom
# **ΔE_f (raw)**: -850.7 meV/atom
data_Li2Br
_chemical_formula_sum 'Li2 Br1'
_symmetry_space_group_name_H-M 'P 1'
_symmetry_Int_Tables_number 1
_cell_length_a 3.700
_cell_length_b 3.700
_cell_length_c 6.098
_cell_angle_alpha 90.00
_cell_angle_beta 90.00
_cell_angle_gamma 120.00
loop_
_symmetry_equiv_pos_as_xyz
'x,y,z'
loop_
_atom_site_label
_atom_site_type_symbol
_atom_site_fract_x
_atom_site_fract_y
_atom_site_fract_z
Li1 Li 0.333 0.667 0.267
Li2 Li 0.667 0.333 0.733
Br1 Br 0.000 0.000 0.000



2.
# Sr3P5S12 PBE-GGA optimized geometry
# **Spin magnetization**: 0.0 μB/cell
# **DFT total energy**: -4.67 eV/atom
# **ΔE_f (raw)**: -585.7 meV/atom
data_Sr3P5S12
_chemical_formula_sum 'Sr12 P20 S48'
_symmetry_space_group_name_H-M 'P 1'
_symmetry_Int_Tables_number 1
_cell_length_a 13.318
_cell_length_b 13.318
_cell_length_c 13.318
_cell_angle_alpha 109.47
_cell_angle_beta 109.47
_cell_angle_gamma 109.47
loop_
_symmetry_equiv_pos_as_xyz
'x,y,z'
loop_
_atom_site_label
_atom_site_type_symbol
_atom_site_fract_x
_atom_site_fract_y
_atom_site_fract_z
Sr1 Sr 0.125 0.250 0.375
Sr2 Sr 0.125 0.375 0.750
Sr3 Sr 0.250 0.375 0.125
Sr4 Sr 0.250 0.875 0.625
Sr5 Sr 0.375 0.125 0.250
Sr6 Sr 0.375 0.750 0.125
Sr7 Sr 0.625 0.250 0.875
Sr8 Sr 0.625 0.875 0.750
Sr9 Sr 0.750 0.125 0.375
Sr10 Sr 0.750 0.625 0.875
Sr11 Sr 0.875 0.625 0.250
Sr12 Sr 0.875 0.750 0.625
P1 P 0.000 0.000 0.000
P2 P 0.000 0.000 0.500
P3 P 0.000 0.500 0.000
P4 P 0.000 0.500 0.500
P5 P 0.125 0.750 0.875
P6 P 0.125 0.875 0.250
P7 P 0.250 0.125 0.875
P8 P 0.250 0.625 0.375
P9 P 0.375 0.250 0.625
P10 P 0.375 0.625 0.750
P11 P 0.500 0.000 0.000
P12 P 0.500 0.000 0.500
P13 P 0.500 0.500 0.000
P14 P 0.500 0.500 0.500
P15 P 0.625 0.375 0.250
P16 P 0.625 0.750 0.375
P17 P 0.750 0.375 0.625
P18 P 0.750 0.875 0.125
P19 P 0.875 0.125 0.750
P20 P 0.875 0.250 0.125
S1 S 0.009 0.197 0.113
S2 S 0.009 0.312 0.896
S3 S 0.084 0.697 0.688
S4 S 0.084 0.887 0.396
S5 S 0.104 0.613 0.416
S6 S 0.104 0.991 0.688
S7 S 0.113 0.009 0.197
S8 S 0.113 0.604 0.916
S9 S 0.188 0.197 0.584
S10 S 0.188 0.491 0.604
S11 S 0.197 0.113 0.009
S12 S 0.197 0.584 0.188
S13 S 0.303 0.312 0.916
S14 S 0.303 0.491 0.387
S15 S 0.312 0.896 0.009
S16 S 0.312 0.916 0.303
S17 S 0.387 0.303 0.491
S18 S 0.387 0.584 0.896
S19 S 0.396 0.084 0.887
S20 S 0.396 0.812 0.509
S21 S 0.416 0.104 0.613
S22 S 0.416 0.812 0.803
S23 S 0.491 0.387 0.303
S24 S 0.491 0.604 0.188
S25 S 0.509 0.396 0.812
S26 S 0.509 0.613 0.697
S27 S 0.584 0.188 0.197
S28 S 0.584 0.896 0.387
S29 S 0.604 0.188 0.491
S30 S 0.604 0.916 0.113
S31 S 0.613 0.416 0.104
S32 S 0.613 0.697 0.509
S33 S 0.688 0.084 0.697
S34 S 0.688 0.104 0.991
S35 S 0.697 0.509 0.613
S36 S 0.697 0.688 0.084
S37 S 0.803 0.416 0.812
S38 S 0.803 0.887 0.991
S39 S 0.812 0.509 0.396
S40 S 0.812 0.803 0.416
S41 S 0.887 0.396 0.084
S42 S 0.887 0.991 0.803
S43 S 0.896 0.009 0.312
S44 S 0.896 0.387 0.584
S45 S 0.916 0.113 0.604
S46 S 0.916 0.303 0.312
S47 S 0.991 0.688 0.104
S48 S 0.991 0.803 0.887



3.
# MgIn3 PBE-GGA optimized geometry
# **ΔH_f (0 K)**: 0.0 eV/f.u.
# **Spin magnetization**: 0.0 μB/cell
# **DFT total energy**: -2.45 eV/atom
data_MgIn3
_chemical_formula_sum 'Mg2 In6'
_symmetry_space_group_name_H-M 'P 1'
_symmetry_Int_Tables_number 1
_cell_length_a 5.918
_cell_length_b 5.918
_cell_length_c 5.918
_cell_angle_alpha 90.00
_cell_angle_beta 90.00
_cell_angle_gamma 90.00
loop_
_symmetry_equiv_pos_as_xyz
'x,y,z'
loop_
_atom_site_label
_atom_site_type_symbol
_atom_site_fract_x
_atom_site_fract_y
_atom_site_fract_z
Mg1 Mg 0.000 0.000 0.000
Mg2 Mg 0.500 0.500 0.500
In1 In 0.000 0.250 0.500
In2 In 0.000 0.750 0.500
In3 In 0.250 0.500 0.000
In4 In 0.500 0.000 0.250
In5 In 0.500 0.000 0.750
In6 In 0.750 0.500 0.000



4.
# InMo4Ru PBE-GGA optimized geometry
# **ΔH_f (0 K)**: 2.2 eV/f.u.
# **Spin magnetization**: 0.0 μB/cell
# **DFT total energy**: -8.86 eV/atom
data_InMo4Ru
_chemical_formula_sum 'In1 Mo4 Ru1'
_symmetry_space_group_name_H-M 'P 1'
_symmetry_Int_Tables_number 1
_cell_length_a 5.233
_cell_length_b 5.233
_cell_length_c 5.233
_cell_angle_alpha 60.00
_cell_angle_beta 60.00
_cell_angle_gamma 60.00
loop_
_symmetry_equiv_pos_as_xyz
'x,y,z'
loop_
_atom_site_label
_atom_site_type_symbol
_atom_site_fract_x
_atom_site_fract_y
_atom_site_fract_z
In1 In 0.000 0.000 0.000
Mo1 Mo 0.122 0.626 0.626
Mo2 Mo 0.626 0.122 0.626
Mo3 Mo 0.626 0.626 0.122
Mo4 Mo 0.626 0.626 0.626
Ru1 Ru 0.250 0.250 0.250



5.
# Hg5As2Cl2 PBE-GGA optimized geometry
# **Spin magnetization**: 0.0 μB/cell
# **DFT total energy**: -1.76 eV/atom
# **Energy above the lowest structure with this stoichiometry**: 27 meV per atom
# **ΔE_f (raw)**: -149.0 meV/atom
data_Hg5As2Cl2
_chemical_formula_sum 'Hg5 As2 Cl2'
_symmetry_space_group_name_H-M 'P 1'
_symmetry_Int_Tables_number 1
_cell_length_a 8.767
_cell_length_b 8.767
_cell_length_c 7.485
_cell_angle_alpha 94.21
_cell_angle_beta 94.21
_cell_angle_gamma 30.86
loop_
_symmetry_equiv_pos_as_xyz
'x,y,z'
loop_
_atom_site_label
_atom_site_type_symbol
_atom_site_fract_x
_atom_site_fract_y
_atom_site_fract_z
Hg1 Hg 0.000 0.000 0.000
Hg2 Hg 0.072 0.072 0.432
Hg3 Hg 0.338 0.338 0.030
Hg4 Hg 0.662 0.662 0.970
Hg5 Hg 0.928 0.928 0.568
As1 As 0.147 0.147 0.128
As2 As 0.853 0.853 0.872
Cl1 Cl 0.350 0.350 0.385
Cl2 Cl 0.650 0.650 0.615



6.
# LaTbAgOs PBE-GGA optimized geometry
# **ΔH_f (0 K)**: -0.6 eV/f.u.
# **Spin magnetization**: 0.0 μB/cell
# **DFT total energy**: -6.06 eV/atom
data_LaTbAgOs
_chemical_formula_sum 'La1 Tb1 Ag1 Os1'
_symmetry_space_group_name_H-M 'P 1'
_symmetry_Int_Tables_number 1
_cell_length_a 5.082
_cell_length_b 5.082
_cell_length_c 5.082
_cell_angle_alpha 60.00
_cell_angle_beta 60.00
_cell_angle_gamma 60.00
loop_
_symmetry_equiv_pos_as_xyz
'x,y,z'
loop_
_atom_site_label
_atom_site_type_symbol
_atom_site_fract_x
_atom_site_fract_y
_atom_site_fract_z
La1 La 0.000 0.000 0.000
Tb1 Tb 0.500 0.500 0.500
Ag1 Ag 0.250 0.250 0.250
Os1 Os 0.750 0.750 0.750